A relaxed structure of Ba4MnRe. Source: the Alexandria database, functional PBE-GGA.

Computed properties:
E_form (eV per atom): 1.58
Energy (eV per cell): -79.39
Spin magnetization (Bohr magnetons per cell): 8.9

Structure (CIF):
```
data_Ba4MnRe
_space_group_name_H-M_alt 'F -4 3 m'
_space_group_IT_number 216
_space_group_name_Hall 'F -4 2 3'
_cell_length_a 9.892
_cell_length_b 9.892
_cell_length_c 9.892
_cell_angle_alpha 90.00
_cell_angle_beta 90.00
_cell_angle_gamma 90.00
loop_
_atom_site_label
_atom_site_fract_x
_atom_site_fract_y
_atom_site_fract_z
_atom_site_occupancy
Ba1 0.124 0.124 0.376 1
Mn1 0.000 0.000 0.000 1
Re1 0.250 0.250 0.750 1
```